{
  "formula": "Li3Pu2MoN6",
  "functional": "PBE",
  "state": "relaxed",
  "cell": [[2.826, -4.950, 0.000], [2.826, 4.950, 0.000], [-1.749, 0.000, 5.070]],
  "species": ["Li", "Li", "Li", "Pu", "Pu", "Mo", "N", "N", "N", "N", "N", "N"],
  "fractional_positions": [[0.000, 0.000, 0.000], [0.358, 0.642, 0.000], [0.642, 0.358, 0.000], [0.167, 0.833, 0.500], [0.833, 0.167, 0.500], [0.500, 0.500, 0.500], [0.118, 0.431, 0.286], [0.249, 0.249, 0.717], [0.431, 0.118, 0.286], [0.569, 0.882, 0.714], [0.751, 0.751, 0.283], [0.882, 0.569, 0.714]],
  "vol_a3_per_atom": 11.8,
  "sg": "C2/m, No. 12",
  "e_form_raw_ev_per_atom": -0.748,
  "n_ef_per_ev_cell": 11.06
}